Entry from Alexandria: a relaxed Th2PaSn9 crystal (GGA-PBE).

Cell lengths 4.7184, 4.7184, 14.1392 Å; angles 90.00, 90.00, 90.00 degrees
Closest atoms and distances in Å follow each position.
Atoms (fractional coordinates):
Th 0.0000 0.0000 0.3293  12 Sn 3.34-3.38
Th 0.0000 0.0000 0.6707  12 Sn 3.34-3.38
Pa 0.0000 0.0000 0.0000  12 Sn 3.28-3.34
Sn 0.5000 0.5000 0.0000  8 Sn 3.28, 4 Pa 3.34
Sn 0.5000 0.5000 0.3318  4 Th 3.34, 8 Sn 3.35-3.37
Sn 0.5000 0.5000 0.6682  4 Th 3.34, 8 Sn 3.35-3.37
Sn 0.5000 0.0000 0.1612  8 Sn 3.28-3.37, 2 Pa 3.28, 2 Th 3.35
Sn 0.5000 0.0000 0.5000  8 Sn 3.34-3.35, 4 Th 3.38
Sn 0.5000 0.0000 0.8388  8 Sn 3.28-3.37, 2 Pa 3.28, 2 Th 3.35
Sn 0.0000 0.5000 0.1612  8 Sn 3.28-3.37, 2 Pa 3.28, 2 Th 3.35
Sn 0.0000 0.5000 0.5000  8 Sn 3.34-3.35, 4 Th 3.38
Sn 0.0000 0.5000 0.8388  8 Sn 3.28-3.37, 2 Pa 3.28, 2 Th 3.35

DFT formation energy   -0.399 eV/atom
Fermi-level density of states   8.74 states/eV/cell
Raw total energy   -5.429 eV per atom
Space group   P4/mmm, No. 123